{
  "formula": "LiVF4",
  "functional": "GGA+U",
  "state": "relaxed",
  "volume_a3_per_cell": 164.35,
  "e_tot_ev_per_fu": -33.92,
  "lattice_angstrom": [[1.299, -6.315, 1.822], [4.504, -4.032, 2.890], [-1.724, -0.564, 6.380]],
  "species": ["F", "F", "F", "F", "F", "F", "F", "F", "V", "V", "Li", "Li"],
  "frac_coords": [[0.131, 0.131, 0.993], [0.928, 0.928, 0.387], [0.279, 0.279, 0.359], [0.072, 0.072, 0.613], [0.650, 0.650, 0.290], [0.869, 0.869, 0.007], [0.350, 0.350, 0.710], [0.721, 0.721, 0.641], [0.798, 0.798, 0.297], [0.202, 0.202, 0.703], [0.914, 0.914, 0.704], [0.086, 0.086, 0.296]]
}